VASP calculation (PBE with a Hubbard U) on a relaxed structure of MgZn2NiO4.

Geometry as POSCAR:
```
MgZn2NiO4
1.0
-3.263 2.440 -1.314
-0.151 -2.183 -3.679
-1.075 -2.902 4.256
O Zn Mg Ni
4 2 1 1
Cartesian
-1.415 -1.411 0.895
-3.074 -1.234 -1.632
-1.654 1.198 -0.643
-4.391 -1.531 1.089
-1.467 -2.478 -0.960
0.000 0.000 0.000
-3.023 -0.167 0.223
-1.707 0.128 -2.496
```

Properties
VASP energy ... -39.27 eV/f.u.